Computed, not measured: a crystal of MgTa2CoS relaxed with PBEsol at the meta-GGA SCAN level of DFT.

Summary:
For the total magnetization, the calculation gives 1.0 μB per cell. The value obtained for the energy relative to the elements, uncorrected is 0.2239 eV/atom. The space group is P4/mmm.

Unit cell a=4.0921 b=4.5475 c=4.5475 alpha=90.00 beta=90.00 gamma=90.00
With the nearest neighbours (Å) after each atom.
Fractional positions:
S: 0.0000 0.0000 0.0000  2 Co 2.05, 4 Ta 2.27
Co: 0.5000 0.0000 0.0000  2 S 2.05
Mg: 0.5000 0.5000 0.5000  8 Ta 3.06, 4 Co 3.22
Ta: 0.0000 0.0000 0.5000  2 S 2.27
Ta: 0.0000 0.5000 0.0000  2 S 2.27